No. 1
A relaxed structure of BaGaReO6. Source: Alexandria, functional PBE.

Lattice parameters (Å, degrees): 5.271 5.271 5.728 90.00 90.00 120.00
Element x y z (fractional)
Ba 0.000 0.000 0.000
Ga 0.333 0.667 0.500
Re 0.667 0.333 0.500
O 0.404 0.014 0.692
O 0.404 0.389 0.308
O 0.611 0.014 0.308
O 0.611 0.596 0.692
O 0.986 0.389 0.692
O 0.986 0.596 0.308

Values from the calculation:
electronic total energy	-65.06	eV for the cell shown
formation energy from raw total energies	-1.99	eV per atom

No. 2
A relaxed structure of Hf12Ga6Re. Source: Alexandria, functional PBE.

Lattice parameters (Å, degrees): 7.625 7.625 7.625 99.07 99.07 99.07
Element x y z (fractional)
Hf 0.002 0.080 0.333
Hf 0.080 0.333 0.002
Hf 0.196 0.540 0.420
Hf 0.333 0.002 0.080
Hf 0.420 0.196 0.540
Hf 0.460 0.580 0.804
Hf 0.540 0.420 0.196
Hf 0.580 0.804 0.460
Hf 0.667 0.998 0.920
Hf 0.804 0.460 0.580
Hf 0.920 0.667 0.998
Hf 0.998 0.920 0.667
Ga 0.126 0.313 0.656
Ga 0.313 0.656 0.126
Ga 0.344 0.874 0.687
Ga 0.656 0.126 0.313
Ga 0.687 0.344 0.874
Ga 0.874 0.687 0.344
Re 0.000 0.000 0.000

Values from the calculation:
electronic total energy	-148.26	eV for the cell shown
E_form	1.8	eV per formula unit

No. 3
A relaxed structure of Th2SiRh6. Source: Alexandria, functional PBE.

Lattice parameters (Å, degrees): 6.072 6.072 6.072 60.00 60.00 60.00
Element x y z (fractional)
Th 0.250 0.250 0.250
Th 0.750 0.750 0.750
Si 0.000 0.000 0.000
Rh 0.268 0.268 0.732
Rh 0.268 0.732 0.268
Rh 0.268 0.732 0.732
Rh 0.732 0.268 0.268
Rh 0.732 0.268 0.732
Rh 0.732 0.732 0.268

Values from the calculation:
electronic total energy	-72.74	eV for the cell shown
energy relative to the lowest polymorph listed for this composition	0	meV/atom
formation energy from raw total energies	-0.93	eV per atom

No. 4
A relaxed structure of Mg6CoB. Source: Alexandria, functional PBE.

Lattice parameters (Å, degrees): 4.491 5.918 5.918 63.67 90.00 90.00
Element x y z (fractional)
Mg 0.000 0.000 0.000
Mg 0.000 0.012 0.518
Mg 0.000 0.496 0.496
Mg 0.000 0.518 0.012
Mg 0.500 0.327 0.830
Mg 0.500 0.830 0.327
Co 0.500 0.334 0.334
B 0.500 0.864 0.864

Values from the calculation:
electronic total energy	-20.00	eV for the cell shown
energy relative to the lowest polymorph listed for this composition	373	meV/atom
E_form	3.3	eV per formula unit